1.
{"formula": "TcHg2Pt", "functional": "PBE", "state": "optimized geometry", "cell": [[7.616, 0.000, 0.000], [0.000, 7.616, 0.000], [0.000, 0.000, 5.618]], "species": ["Tc", "Tc", "Tc", "Tc", "Hg", "Hg", "Hg", "Hg", "Hg", "Hg", "Hg", "Hg", "Pt", "Pt", "Pt", "Pt"], "fractional_positions": [[0.000, 0.000, 0.000], [0.000, 0.500, 0.250], [0.500, 0.000, 0.750], [0.500, 0.500, 0.500], [0.247, 0.250, 0.625], [0.250, 0.747, 0.875], [0.250, 0.753, 0.375], [0.253, 0.250, 0.125], [0.747, 0.750, 0.125], [0.750, 0.247, 0.375], [0.750, 0.253, 0.875], [0.753, 0.750, 0.625], [0.000, 0.000, 0.500], [0.000, 0.500, 0.750], [0.500, 0.000, 0.250], [0.500, 0.500, 0.000]], "space_group": "No. 122", "e_form_ev_per_atom": 0.751}

---

2.
{"formula": "YNiIr", "functional": "PBE", "state": "optimized geometry", "cell": [[5.093, 0.000, 0.000], [0.000, 5.395, 0.000], [0.000, 0.000, 7.354]], "species": ["Y", "Y", "Y", "Y", "Ni", "Ni", "Ni", "Ni", "Ir", "Ir", "Ir", "Ir"], "fractional_positions": [[0.000, 0.250, 0.123], [0.000, 0.750, 0.877], [0.500, 0.250, 0.377], [0.500, 0.750, 0.623], [0.250, 0.250, 0.750], [0.250, 0.750, 0.250], [0.750, 0.250, 0.750], [0.750, 0.750, 0.250], [0.000, 0.000, 0.500], [0.000, 0.500, 0.500], [0.500, 0.000, 0.000], [0.500, 0.500, 0.000]], "space_group": "No. 74", "e_form_ev_per_atom": -0.651}

---

3.
{"formula": "TaOsCl4", "functional": "PBE", "state": "optimized geometry", "cell": [[0.000, 3.860, 3.860], [3.860, 0.000, 3.860], [3.860, 3.860, 0.000]], "species": ["Ta", "Os", "Cl", "Cl", "Cl", "Cl"], "fractional_positions": [[0.000, 0.000, 0.000], [0.250, 0.250, 0.250], [0.125, 0.625, 0.625], [0.625, 0.125, 0.625], [0.625, 0.625, 0.125], [0.625, 0.625, 0.625]], "e_form_raw_ev_per_atom": 1.647, "space_group": "No. 216"}

---

4.
{"formula": "Pr2Ga4Ag3", "functional": "PBE", "state": "optimized geometry", "cell": [[2.977, -8.006, 0.000], [2.977, 8.006, 0.000], [0.000, 0.000, 7.921]], "species": ["Pr", "Pr", "Pr", "Pr", "Ga", "Ga", "Ga", "Ga", "Ga", "Ga", "Ga", "Ga", "Ag", "Ag", "Ag", "Ag", "Ag", "Ag"], "fractional_positions": [[0.107, 0.893, 0.907], [0.393, 0.607, 0.407], [0.607, 0.393, 0.593], [0.893, 0.107, 0.093], [0.174, 0.826, 0.518], [0.189, 0.311, 0.750], [0.311, 0.189, 0.250], [0.326, 0.674, 0.018], [0.674, 0.326, 0.982], [0.689, 0.811, 0.750], [0.811, 0.689, 0.250], [0.826, 0.174, 0.482], [0.000, 0.000, 0.500], [0.022, 0.478, 0.750], [0.478, 0.022, 0.250], [0.500, 0.500, 0.000], [0.522, 0.978, 0.750], [0.978, 0.522, 0.250]], "space_group": "No. 64", "e_form_ev_per_atom": -0.376}

---

5.
{"formula": "CrMoRh2", "functional": "PBE", "state": "optimized geometry", "cell": [[2.703, 0.000, 0.000], [0.000, 3.817, 0.000], [0.000, 0.000, 5.415]], "species": ["Cr", "Mo", "Rh", "Rh"], "fractional_positions": [[0.000, 0.000, 0.000], [0.000, 0.000, 0.500], [0.500, 0.500, 0.242], [0.500, 0.500, 0.758]], "space_group": "No. 47", "e_form_ev_per_atom": -0.096}

---

6.
{"formula": "Ho5FeTe2", "functional": "PBE", "state": "optimized geometry", "cell": [[2.822, -7.650, 0.000], [2.822, 7.650, 0.000], [0.000, 0.000, 13.142]], "species": ["Ho", "Ho", "Ho", "Ho", "Ho", "Ho", "Ho", "Ho", "Ho", "Ho", "Fe", "Fe", "Te", "Te", "Te", "Te"], "fractional_positions": [[0.052, 0.948, 0.612], [0.052, 0.948, 0.888], [0.278, 0.722, 0.609], [0.278, 0.722, 0.891], [0.323, 0.677, 0.250], [0.677, 0.323, 0.750], [0.722, 0.278, 0.109], [0.722, 0.278, 0.391], [0.948, 0.052, 0.112], [0.948, 0.052, 0.388], [0.160, 0.840, 0.750], [0.840, 0.160, 0.250], [0.160, 0.840, 0.091], [0.160, 0.840, 0.409], [0.840, 0.160, 0.591], [0.840, 0.160, 0.909]], "e_form_raw_ev_per_atom": -0.319, "space_group": "No. 63"}

---

7.
{"formula": "TaZnCu2C", "functional": "PBE", "state": "optimized geometry", "cell": [[4.444, 0.000, 0.000], [0.000, 4.444, 0.000], [0.000, 0.000, 3.664]], "species": ["Ta", "Zn", "Cu", "Cu", "C"], "fractional_positions": [[0.000, 0.000, 0.000], [0.500, 0.500, 0.500], [0.000, 0.500, 0.500], [0.500, 0.000, 0.500], [0.500, 0.500, 0.000]], "space_group": "No. 123", "e_form_ev_per_atom": 1.485}

---

8.
{"formula": "In2GeOs", "functional": "PBE", "state": "optimized geometry", "cell": [[3.204, 0.000, 0.000], [-1.594, 4.921, 0.000], [-1.576, -1.953, 10.440]], "species": ["In", "In", "In", "In", "Ge", "Ge", "Os", "Os"], "fractional_positions": [[0.000, 0.000, 0.000], [0.097, 0.676, 0.508], [0.256, 0.151, 0.346], [0.372, 0.577, 0.173], [0.164, 0.546, 0.779], [0.409, 0.070, 0.744], [0.690, 0.433, 0.946], [0.871, 0.161, 0.574]], "space_group": "No. 1", "e_form_ev_per_atom": 0.126}

---

9.
{"formula": "Ac6AsP5", "functional": "PBE", "state": "optimized geometry", "cell": [[3.869, -6.700, 0.000], [3.869, 6.700, 0.000], [-2.580, 0.000, 7.294]], "species": ["Ac", "Ac", "Ac", "Ac", "Ac", "Ac", "As", "P", "P", "P", "P", "P"], "fractional_positions": [[0.079, 0.416, 0.748], [0.247, 0.247, 0.252], [0.416, 0.079, 0.748], [0.584, 0.921, 0.252], [0.753, 0.753, 0.748], [0.921, 0.584, 0.252], [0.500, 0.500, 0.000], [0.000, 0.000, 0.500], [0.167, 0.833, 0.000], [0.334, 0.666, 0.500], [0.666, 0.334, 0.500], [0.833, 0.167, 0.000]], "space_group": "No. 12", "e_form_ev_per_atom": -1.470}

---

10.
{"formula": "Li7Ca3Ga2", "functional": "PBE", "state": "optimized geometry", "cell": [[2.915, 1.683, 9.650], [-2.915, 1.683, 9.650], [0.000, -3.366, 9.650]], "species": ["Li", "Li", "Li", "Li", "Li", "Li", "Li", "Ca", "Ca", "Ca", "Ga", "Ga"], "fractional_positions": [[0.000, 0.000, 0.000], [0.075, 0.075, 0.574], [0.075, 0.574, 0.075], [0.426, 0.925, 0.925], [0.574, 0.075, 0.075], [0.925, 0.426, 0.925], [0.925, 0.925, 0.426], [0.360, 0.360, 0.360], [0.500, 0.500, 0.500], [0.640, 0.640, 0.640], [0.167, 0.167, 0.167], [0.833, 0.833, 0.833]], "space_group": "No. 166", "e_form_ev_per_atom": -0.113}

---

11.
{"formula": "Sm5Pt3", "functional": "PBE", "state": "optimized geometry", "cell": [[8.577, 0.000, 0.000], [-4.289, 7.428, 0.000], [0.000, 0.000, 6.422]], "species": ["Sm", "Sm", "Sm", "Sm", "Sm", "Sm", "Sm", "Sm", "Sm", "Sm", "Pt", "Pt", "Pt", "Pt", "Pt", "Pt"], "fractional_positions": [[0.000, 0.247, 0.250], [0.000, 0.753, 0.750], [0.247, 0.000, 0.250], [0.247, 0.247, 0.750], [0.333, 0.667, 0.000], [0.333, 0.667, 0.500], [0.667, 0.333, 0.000], [0.667, 0.333, 0.500], [0.753, 0.000, 0.750], [0.753, 0.753, 0.250], [0.000, 0.393, 0.750], [0.000, 0.607, 0.250], [0.393, 0.000, 0.750], [0.393, 0.393, 0.250], [0.607, 0.000, 0.250], [0.607, 0.607, 0.750]], "space_group": "No. 193", "e_form_ev_per_atom": -0.914}

---

12.
{"formula": "SrNd2Hg3", "functional": "PBE", "state": "optimized geometry", "cell": [[3.864, 0.000, 0.000], [0.000, 3.864, 0.000], [0.000, 0.000, 11.846]], "species": ["Sr", "Nd", "Nd", "Hg", "Hg", "Hg"], "fractional_positions": [[0.000, 0.000, 0.000], [0.000, 0.000, 0.339], [0.000, 0.000, 0.661], [0.500, 0.500, 0.183], [0.500, 0.500, 0.500], [0.500, 0.500, 0.817]], "space_group": "No. 123", "e_form_ev_per_atom": -0.496}